[1]
Compound: Zn2GaW
Source: OQMD via LeMat-Bulk
Functional: PBE-GGA
Structure: relaxed

Unit cell a=4.411 b=4.411 c=4.411 alpha=60.00 beta=60.00 gamma=60.00
Atoms (fractional coordinates):
1 Zn 0.000 0.000 0.000
2 Zn 0.250 0.250 0.250
3 Ga 0.500 0.500 0.500
4 W 0.750 0.750 0.750

Output
Final energy (eV/f.u.): -16.473

=====

[2]
Compound: NdBiS2O
Source: OQMD via LeMat-Bulk
Functional: PBE-GGA
Structure: relaxed

Unit cell a=4.000 b=4.000 c=14.156 alpha=90.00 beta=90.00 gamma=90.00
Atoms (fractional coordinates):
1 Nd 0.250 0.250 0.086
2 Nd 0.750 0.750 0.914
3 Bi 0.250 0.250 0.633
4 Bi 0.750 0.750 0.367
5 S 0.250 0.250 0.394
6 S 0.250 0.250 0.811
7 S 0.750 0.750 0.189
8 S 0.750 0.750 0.606
9 O 0.250 0.750 0.000
10 O 0.750 0.250 0.000

Output
Final energy (eV/f.u.): -30.465

=====

[3]
Compound: HoHfCu6
Source: OQMD via LeMat-Bulk
Functional: PBE-GGA
Structure: relaxed

Unit cell a=4.435 b=5.728 c=4.729 alpha=90.00 beta=90.00 gamma=90.00
Atoms (fractional coordinates):
1 Ho 0.000 0.000 0.000
2 Hf 0.500 0.500 0.302
3 Cu 0.000 0.273 0.496
4 Cu 0.000 0.500 0.969
5 Cu 0.000 0.727 0.496
6 Cu 0.500 0.000 0.390
7 Cu 0.500 0.273 0.804
8 Cu 0.500 0.727 0.804

Output
ΔE_f (eV/atom): -0.15

=====

[4]
Compound: NbCuBiMo
Source: OQMD via LeMat-Bulk
Functional: PBE-GGA
Structure: relaxed

Unit cell a=4.661 b=4.661 c=4.661 alpha=60.00 beta=60.00 gamma=60.00
Atoms (fractional coordinates):
1 Nb 0.000 0.000 0.000
2 Cu 0.750 0.750 0.750
3 Bi 0.500 0.500 0.500
4 Mo 0.250 0.250 0.250

Output
Distance to the lowest polymorph of the same formula (eV per atom): 0.000

=====

[5]
Compound: Be2NiB
Source: OQMD via LeMat-Bulk
Functional: PBE-GGA
Structure: relaxed

Unit cell a=3.518 b=3.518 c=3.518 alpha=60.00 beta=60.00 gamma=60.00
Atoms (fractional coordinates):
1 Be 0.000 0.000 0.000
2 Be 0.250 0.250 0.250
3 Ni 0.750 0.750 0.750
4 B 0.500 0.500 0.500

Output
Final energy (eV/f.u.): -20.069

=====

[6]
Compound: ErScGa2Ir4
Source: OQMD via LeMat-Bulk
Functional: PBE-GGA
Structure: relaxed

Unit cell a=4.295 b=4.295 c=8.763 alpha=90.00 beta=90.00 gamma=120.00
Atoms (fractional coordinates):
1 Er 0.000 0.000 0.000
2 Sc 0.667 0.333 0.500
3 Ga 0.333 0.667 0.260
4 Ga 0.333 0.667 0.740
5 Ir 0.000 0.000 0.348
6 Ir 0.000 0.000 0.652
7 Ir 0.667 0.333 0.174
8 Ir 0.667 0.333 0.826

Output
Distance to the lowest polymorph of the same formula (eV per atom): 0.095

=====

[7]
Compound: PrInPd
Source: OQMD via LeMat-Bulk
Functional: PBE-GGA
Structure: relaxed

Unit cell a=4.985 b=4.985 c=4.985 alpha=60.00 beta=60.00 gamma=60.00
Atoms (fractional coordinates):
1 Pr 0.000 0.000 0.000
2 In 0.750 0.750 0.750
3 Pd 0.250 0.250 0.250

Output
Final energy (eV/f.u.): -12.783

=====

[8]
Compound: MgTaBeIr
Source: OQMD via LeMat-Bulk
Functional: PBE-GGA
Structure: relaxed

Unit cell a=4.371 b=4.371 c=4.371 alpha=60.00 beta=60.00 gamma=60.00
Atoms (fractional coordinates):
1 Mg 0.000 0.000 0.000
2 Ta 0.500 0.500 0.500
3 Be 0.250 0.250 0.250
4 Ir 0.750 0.750 0.750

Output
Distance to the lowest polymorph of the same formula (eV per atom): 0.000

=====

[9]
Compound: Li2TlHg
Source: OQMD via LeMat-Bulk
Functional: PBE-GGA
Structure: relaxed

Unit cell a=4.757 b=4.757 c=4.757 alpha=119.39 beta=119.39 gamma=91.06
Atoms (fractional coordinates):
1 Li 0.250 0.750 0.500
2 Li 0.750 0.250 0.500
3 Tl 0.000 0.000 0.000
4 Hg 0.500 0.500 0.000

Output
Final energy (eV/f.u.): -7.668

=====

[10]
Compound: TmScHgC
Source: OQMD via LeMat-Bulk
Functional: PBE-GGA
Structure: relaxed

Unit cell a=3.448 b=3.448 c=15.329 alpha=90.00 beta=90.00 gamma=120.00
Atoms (fractional coordinates):
1 Tm 0.333 0.667 0.000
2 Tm 0.667 0.333 0.500
3 Sc 0.333 0.667 0.333
4 Sc 0.667 0.333 0.833
5 Hg 0.333 0.667 0.671
6 Hg 0.667 0.333 0.171
7 C 0.000 0.000 0.411
8 C 0.000 0.000 0.911

Output
Distance to the lowest polymorph of the same formula (eV per atom): 0.001

=====

[11]
Compound: SrHoCuTe2S
Source: OQMD via LeMat-Bulk
Functional: PBE-GGA
Structure: relaxed

Unit cell a=7.518 b=7.518 c=10.472 alpha=90.00 beta=90.00 gamma=147.74
Atoms (fractional coordinates):
1 Sr 0.220 0.780 0.750
2 Sr 0.780 0.220 0.250
3 Ho 0.500 0.500 0.000
4 Ho 0.500 0.500 0.500
5 Cu 0.020 0.980 0.250
6 Cu 0.980 0.020 0.750
7 Te 0.146 0.854 0.065
8 Te 0.146 0.854 0.435
9 Te 0.854 0.146 0.565
10 Te 0.854 0.146 0.935
11 S 0.435 0.565 0.250
12 S 0.565 0.435 0.750

Output
Final energy (eV/f.u.): -28.463

=====

[12]
Compound: LiTaB
Source: OQMD via LeMat-Bulk
Functional: PBE-GGA
Structure: relaxed

Unit cell a=3.736 b=3.736 c=3.736 alpha=60.00 beta=60.00 gamma=60.00
Atoms (fractional coordinates):
1 Li 0.000 0.000 0.000
2 Ta 0.500 0.500 0.500
3 B 0.250 0.250 0.250

Output
Distance to the lowest polymorph of the same formula (eV per atom): 0.000